Record 1
The following is a GGA-PBE calculation of a relaxed structure of Zr2TlSe, from Alexandria via LeMat-Bulk.

Computed properties:
energy above the lowest structure with this stoichiometry: 209 meV per atom
E_tot: -6.1095 eV per atom
space-group type: C2/m, No. 12

abc: 5.119 5.119 3.372
angles: 84.11 84.11 96.89
Atoms (fractional coordinates):
Se 0.500 0.000 0.500
Zr 0.000 0.000 0.000
Zr 0.500 0.500 0.000
Tl 0.000 0.500 0.500

Record 2
The following is a GGA-PBE calculation of a relaxed structure of Li4Ge2Pt3, from Alexandria via LeMat-Bulk.

Computed properties:
E_form: -0.564 eV/atom
E_tot: -4.4545 eV per atom
space-group type: C2/m, No. 12

abc: 4.182 5.155 6.901
angles: 81.69 72.36 66.07
Atoms (fractional coordinates):
Pt 0.325 0.785 0.565
Pt 0.675 0.215 0.435
Pt 0.000 0.000 0.000
Li 0.661 0.560 0.118
Li 0.000 0.657 0.343
Li 0.000 0.343 0.657
Li 0.339 0.440 0.882
Ge 0.338 0.092 0.233
Ge 0.662 0.908 0.767